[1]
The following is a PBE calculation of crystalline Ba3NbBr at its relaxed geometry, from Alexandria via LeMat-Bulk.

The calculation puts the raw formation energy at 0.24 eV per atom. Its total energy is -3.26 eV/atom. The calculated volume comes out at 226 Å³/cell. The value obtained for the total magnetization is 0.00 μB/cell. Its crystal system is cubic.

Lattice parameters (Å, degrees): 6.0926 6.0926 6.0926 90.00 90.00 90.00
Fractional positions:
Nb 0.0000 0.0000 0.0000
Ba 0.0000 0.0000 0.5000
Ba 0.0000 0.5000 0.0000
Ba 0.5000 0.0000 0.0000
Br 0.5000 0.5000 0.5000

---

[2]
The following is a PBE calculation of crystalline BaNb2Br2 at its relaxed geometry, from Alexandria via LeMat-Bulk.

The calculation puts the raw formation energy at -0.02 eV per atom. Its total energy is -5.10 eV/atom. The calculated volume comes out at 138 Å³/cell. The value obtained for the total magnetization is 0.00 μB/cell. Its crystal system is tetragonal.

Lattice parameters (Å, degrees): 5.2401 5.2401 6.2485 65.21 65.21 90.00
Fractional positions:
Nb 0.3915 0.3915 0.2170
Nb 0.6085 0.6085 0.7830
Br 0.7500 0.2500 0.5000
Br 0.2500 0.7500 0.5000
Ba 0.0000 0.0000 0.0000

---

[3]
The following is a PBE calculation of crystalline BaNb3Br at its relaxed geometry, from Alexandria via LeMat-Bulk.

The calculation puts the raw formation energy at 1.15 eV per atom. Its total energy is -5.61 eV/atom. The calculated volume comes out at 124 Å³/cell. The value obtained for the total magnetization is 0.00 μB/cell. Its crystal system is cubic.

Lattice parameters (Å, degrees): 4.9823 4.9823 4.9823 90.00 90.00 90.00
Fractional positions:
Br 0.0000 0.0000 0.0000
Ba 0.5000 0.5000 0.5000
Nb 0.0000 0.0000 0.5000
Nb 0.5000 0.0000 0.0000
Nb 0.0000 0.5000 0.0000

---

[4]
The following is a PBE calculation of crystalline Ba2NbBr at its relaxed geometry, from Alexandria via LeMat-Bulk.

The calculation puts the raw formation energy at 0.25 eV per atom. Its total energy is -3.65 eV/atom. The calculated volume comes out at 360 Å³/cell. The value obtained for the total magnetization is 9.58 μB/cell. Its crystal system is tetragonal.

Lattice parameters (Å, degrees): 8.9163 8.9163 7.7633 54.95 54.95 90.00
Site moments in Bohr magnetons follow the coordinates.
Fractional positions:
Br 0.2500 0.7500 0.5000  0.03
Br 0.5000 0.5000 0.0000  0.03
Ba 0.8750 0.8581 0.7500  0.13
Ba 0.6081 0.1250 0.2500  0.14
Ba 0.1419 0.6250 0.2500  0.14
Ba 0.3750 0.3919 0.7500  0.14
Nb 0.7500 0.2500 0.5000  2.90
Nb 0.0000 0.0000 0.0000  2.90

---

[5]
The following is a PBE calculation of crystalline Ba2NbBr at its relaxed geometry, from Alexandria via LeMat-Bulk.

The calculation puts the raw formation energy at 0.23 eV per atom. Its total energy is -3.67 eV/atom. The calculated volume comes out at 152 Å³/cell. The value obtained for the total magnetization is 5.10 μB/cell. Its crystal system is cubic.

Lattice parameters (Å, degrees): 5.9914 5.9914 5.9914 60.00 60.00 60.00
Site moments in Bohr magnetons follow the coordinates.
Fractional positions:
Ba 0.7500 0.7500 0.7500  0.16
Ba 0.2500 0.2500 0.2500  0.16
Nb 0.5000 0.5000 0.5000  2.96
Br 0.0000 0.0000 0.0000  0.07

---

[6]
The following is a PBE calculation of crystalline BaNb3Br at its relaxed geometry, from Alexandria via LeMat-Bulk.

The calculation puts the raw formation energy at 2.64 eV per atom. Its total energy is -4.13 eV/atom. The calculated volume comes out at 139 Å³/cell. The value obtained for the total magnetization is 0.00 μB/cell. Its crystal system is cubic.

Lattice parameters (Å, degrees): 5.1740 5.1740 5.1740 90.00 90.00 90.00
Fractional positions:
Nb 0.0000 0.5000 0.0000
Nb 0.0000 0.0000 0.5000
Nb 0.5000 0.0000 0.0000
Ba 0.0000 0.0000 0.0000
Br 0.5000 0.5000 0.5000

---

[7]
The following is a PBE calculation of crystalline Ba2NbBr2 at its relaxed geometry, from Alexandria via LeMat-Bulk.

The calculation puts the raw formation energy at -0.41 eV per atom. Its total energy is -3.86 eV/atom. The calculated volume comes out at 211 Å³/cell. The value obtained for the total magnetization is 5.01 μB/cell. Its crystal system is tetragonal.

Lattice parameters (Å, degrees): 5.0339 5.0339 9.0723 73.89 73.89 90.00
Site moments in Bohr magnetons follow the coordinates.
Fractional positions:
Br 0.2500 0.7500 0.5000  0.02
Br 0.7500 0.2500 0.5000  0.02
Nb 0.0000 0.0000 0.0000  2.99
Ba 0.6271 0.6271 0.7459  0.08
Ba 0.3729 0.3729 0.2541  0.08

---

[8]
The following is a PBE calculation of crystalline BaNbNiBr2 at its relaxed geometry, from Alexandria via LeMat-Bulk.

The calculation puts the raw formation energy at 0.07 eV per atom. Its total energy is -4.15 eV/atom. The calculated volume comes out at 136 Å³/cell. The value obtained for the total magnetization is 3.38 μB/cell. Its crystal system is tetragonal.

Lattice parameters (Å, degrees): 5.3041 4.8513 5.3041 90.00 90.00 90.00
Site moments in Bohr magnetons follow the coordinates.
Fractional positions:
Nb 0.0000 0.5000 0.0000  2.27
Br 0.5000 0.0000 0.0000  0.02
Br 0.0000 0.0000 0.5000  0.01
Ni 0.0000 0.0000 0.0000  -0.10
Ba 0.5000 0.5000 0.5000  0.13

---

[9]
The following is a PBE calculation of crystalline Ba2NbPbBr at its relaxed geometry, from Alexandria via LeMat-Bulk.

The calculation puts the raw formation energy at 0.28 eV per atom. Its total energy is -3.58 eV/atom. The calculated volume comes out at 199 Å³/cell. The value obtained for the total magnetization is 0.00 μB/cell. Its crystal system is tetragonal.

Lattice parameters (Å, degrees): 6.3595 4.9109 6.3595 90.00 90.00 90.00
Fractional positions:
Ba 0.0000 0.0000 0.5000
Ba 0.5000 0.0000 0.0000
Nb 0.0000 0.0000 0.0000
Br 0.0000 0.5000 0.0000
Pb 0.5000 0.5000 0.5000

---

[10]
The following is a PBE calculation of crystalline BaNbReBr2 at its relaxed geometry, from Alexandria via LeMat-Bulk.

The calculation puts the raw formation energy at 1.50 eV per atom. Its total energy is -4.06 eV/atom. The calculated volume comes out at 247 Å³/cell. The value obtained for the total magnetization is 0.00 μB/cell. Its crystal system is tetragonal.

Lattice parameters (Å, degrees): 5.9934 6.8765 5.9934 90.00 90.00 90.00
Site moments in Bohr magnetons follow the coordinates.
Fractional positions:
Br 0.0000 0.0000 0.5000  -0.01
Br 0.5000 0.0000 0.0000  -0.01
Re 0.0000 0.5000 0.0000  3.62
Ba 0.0000 0.0000 0.0000  -0.01
Nb 0.5000 0.5000 0.5000  -3.15

---

[11]
The following is a PBE calculation of crystalline Ba2NbSBr at its relaxed geometry, from Alexandria via LeMat-Bulk.

The calculation puts the raw formation energy at -0.68 eV per atom. Its total energy is -4.63 eV/atom. The calculated volume comes out at 185 Å³/cell. The value obtained for the total magnetization is 2.77 μB/cell. Its crystal system is tetragonal.

Lattice parameters (Å, degrees): 6.3028 4.6486 6.3028 90.00 90.00 90.00
Site moments in Bohr magnetons follow the coordinates.
Fractional positions:
Ba 0.5000 0.0000 0.0000  0.05
Ba 0.0000 0.0000 0.5000  0.08
Br 0.5000 0.5000 0.5000  0.03
S 0.0000 0.0000 0.0000  -0.05
Nb 0.0000 0.5000 0.0000  1.66

---

[12]
The following is a PBE calculation of crystalline Ba2NbSbBr at its relaxed geometry, from Alexandria via LeMat-Bulk.

The calculation puts the raw formation energy at 0.38 eV per atom. Its total energy is -3.56 eV/atom. The calculated volume comes out at 214 Å³/cell. The value obtained for the total magnetization is 4.33 μB/cell. Its crystal system is tetragonal.

Lattice parameters (Å, degrees): 6.1334 5.6993 6.1334 90.00 90.00 90.00
Site moments in Bohr magnetons follow the coordinates.
Fractional positions:
Ba 0.5000 0.0000 0.0000  0.07
Ba 0.0000 0.0000 0.5000  0.08
Nb 0.5000 0.5000 0.5000  2.90
Br 0.0000 0.0000 0.0000  -0.01
Sb 0.0000 0.5000 0.0000  -0.10

---

[13]
The following is a PBE calculation of crystalline BaSc2NbBr at its relaxed geometry, from Alexandria via LeMat-Bulk.

The calculation puts the raw formation energy at 0.39 eV per atom. Its total energy is -4.87 eV/atom. The calculated volume comes out at 139 Å³/cell. The value obtained for the total magnetization is 0.29 μB/cell. Its crystal system is tetragonal.

Lattice parameters (Å, degrees): 5.2526 5.0400 5.2526 90.00 90.00 90.00
Site moments in Bohr magnetons follow the coordinates.
Fractional positions:
Sc 0.0000 0.0000 0.5000  -0.10
Sc 0.5000 0.0000 0.0000  -0.06
Br 0.0000 0.0000 0.0000  -0.01
Ba 0.5000 0.5000 0.5000  -0.01
Nb 0.0000 0.5000 0.0000  0.51